Density functional theory data (PBE-GGA) for an optimized crystal structure of BaSiTe2.

Cell: 4.071 4.515 7.727 Å, 79.45 90.00 90.00°
Element x y z (fractional)
Te  0.000  0.666  0.509
Te  0.000  0.834  0.991
Si  0.500  0.750  0.750
Ba  0.500  0.250  0.250

Output
* formation energy from raw total energies: -0.4912 eV/atom
* electronic total energy: -15.6 eV for the cell shown
* crystal system: monoclinic

Density functional theory data (PBE-GGA) for an optimized crystal structure of BaSiTe2.

Cell: 6.197 6.197 6.197 Å, 141.80 119.32 74.01°
Element x y z (fractional)
Si  0.250  0.750  0.500
Te  0.060  0.060  0.000
Te  0.440  0.440  0.000
Ba  0.750  0.250  0.500

Output
* formation energy from raw total energies: -0.4902 eV/atom
* electronic total energy: -15.6 eV for the cell shown
* crystal system: orthorhombic

Density functional theory data (PBE-GGA) for an optimized crystal structure of BaSi2Te2.

Cell: 5.765 5.765 6.051 Å, 61.55 61.55 90.00°
Element x y z (fractional)
Ba  0.000  0.000  0.000
Te  0.250  0.750  0.500
Te  0.750  0.250  0.500
Si  0.356  0.356  0.288
Si  0.644  0.644  0.712

Output
* formation energy from raw total energies: -0.2694 eV/atom
* electronic total energy: -20.4 eV for the cell shown
* crystal system: tetragonal

Q: Which of these has the highest formation energy from raw total energies?
A: BaSi2Te2

Q: Number 3 is which compound?
A: BaSi2Te2

Q: The lowest formation energy from raw total energies belongs to which entry?
A: number 1